(1)
{"formula": "PuNbCo", "functional": "GGA-PBE", "state": "relaxed", "vol_a3_per_atom": 16.91, "total_magnetization_mub_per_cell": 4.4, "polymorph_energy_mev_per_atom": 259, "sg": "P3m1", "lattice": [[2.901, 0.000, 0.000], [0.000, 4.494, 0.000], [0.000, -2.247, 3.892]], "species": ["Nb", "Co", "Pu"], "fractional_positions": [[0.034, 0.000, 0.000], [0.629, 0.333, 0.667], [0.338, 0.667, 0.333]]}

***

(2)
{"formula": "PuNb2Co9", "functional": "GGA-PBE", "state": "relaxed", "energy_ev_per_atom": -8.318, "vol_a3_per_atom": 13.03, "total_magnetization_mub_per_cell": 3.1, "sg": "R-3m", "lattice": [[-0.468, 0.759, 4.724], [-2.404, -3.156, 2.715], [5.667, -4.737, 3.769]], "species": ["Pu", "Nb", "Nb", "Co", "Co", "Co", "Co", "Co", "Co", "Co", "Co", "Co"], "fractional_positions": [[0.000, 0.000, 0.000], [0.859, 0.859, 0.422], [0.141, 0.141, 0.578], [0.665, 0.665, 0.006], [0.335, 0.335, 0.994], [0.500, 0.500, 0.500], [0.411, 0.411, 0.258], [0.920, 0.411, 0.258], [0.411, 0.920, 0.258], [0.589, 0.589, 0.742], [0.589, 0.080, 0.742], [0.080, 0.589, 0.742]]}

***

(3)
{"formula": "PuNbCo4", "functional": "GGA-PBE", "state": "relaxed", "energy_ev_per_atom": -8.873, "vol_a3_per_atom": 13.66, "total_magnetization_mub_per_cell": 2.8, "sg": "F-43m", "lattice": [[-1.439, -3.268, -3.320], [2.518, -0.539, -4.140], [2.630, -4.038, -0.746]], "species": ["Nb", "Co", "Co", "Co", "Co", "Pu"], "fractional_positions": [[0.250, 0.250, 0.250], [0.625, 0.625, 0.125], [0.625, 0.125, 0.625], [0.625, 0.625, 0.625], [0.125, 0.625, 0.625], [0.000, 0.000, 0.000]]}

***

(4)
{"formula": "Pu2NbCo", "functional": "GGA-PBE", "state": "relaxed", "energy_ev_per_atom": -10.897, "vol_a3_per_atom": 18.81, "total_magnetization_mub_per_cell": 9.7, "sg": "R-3m", "lattice": [[-1.069, -1.737, -2.016], [1.636, -2.068, -1.125], [-3.100, -7.949, 6.452]], "species": ["Nb", "Co", "Pu", "Pu"], "fractional_positions": [[0.000, 0.000, 0.000], [0.500, 0.500, 0.500], [0.094, 0.094, 0.718], [0.906, 0.906, 0.282]]}

***

(5)
{"formula": "PuNbCo2", "functional": "GGA-PBE", "state": "relaxed", "vol_a3_per_atom": 16.33, "total_magnetization_mub_per_cell": 4.9, "polymorph_energy_mev_per_atom": 0, "sg": "P4/mmm", "lattice": [[3.075, 0.000, 0.000], [0.000, 3.075, 0.000], [0.000, 0.000, 6.910]], "species": ["Nb", "Co", "Co", "Pu"], "fractional_positions": [[0.500, 0.500, 0.000], [0.000, 0.000, 0.802], [0.000, 0.000, 0.198], [0.500, 0.500, 0.500]]}

***

(6)
{"formula": "RbNb2Co", "functional": "GGA-PBE", "state": "relaxed", "vol_a3_per_atom": 28.89, "total_magnetization_mub_per_cell": 0.0, "polymorph_energy_mev_per_atom": 13, "sg": "I4_1/amd", "lattice": [[-4.334, 1.389, -2.809], [-3.075, -2.810, 3.355], [-4.619, 5.835, 4.918]], "species": ["Nb", "Nb", "Nb", "Nb", "Co", "Co", "Rb", "Rb"], "fractional_positions": [[0.375, 0.125, 0.250], [0.375, 0.625, 0.250], [0.375, 0.625, 0.750], [0.875, 0.625, 0.750], [0.500, 0.500, 0.000], [0.250, 0.750, 0.500], [0.000, 0.000, 0.000], [0.750, 0.250, 0.500]]}

***

(7)
{"formula": "Rb2NbCo", "functional": "GGA-PBE", "state": "relaxed", "energy_ev_per_atom": -2.808, "vol_a3_per_atom": 38.51, "total_magnetization_mub_per_cell": 7.2, "sg": "Fm-3m", "lattice": [[5.339, -2.374, 1.437], [0.893, -5.928, -0.513], [3.603, -2.137, -4.319]], "species": ["Nb", "Co", "Rb", "Rb"], "fractional_positions": [[0.500, 0.500, 0.500], [0.000, 0.000, 0.000], [0.250, 0.250, 0.250], [0.750, 0.750, 0.750]]}

***

(8)
{"formula": "RbNb2Co", "functional": "GGA-PBE", "state": "relaxed", "vol_a3_per_atom": 17.98, "total_magnetization_mub_per_cell": 0.0, "polymorph_energy_mev_per_atom": 0, "sg": "Fm-3m", "lattice": [[0.000, 3.301, 3.301], [3.301, 0.000, 3.301], [3.301, 3.301, 0.000]], "species": ["Nb", "Nb", "Co", "Rb"], "fractional_positions": [[0.250, 0.250, 0.250], [0.750, 0.750, 0.750], [0.000, 0.000, 0.000], [0.500, 0.500, 0.500]]}